(1)
## Sc2Ag2F7 (PBE-GGA)

Data for a geometry-optimized Sc2Ag2F7 structure.

DOS(E_F)   0.24 states/eV/atom
Space-group type   C2/m (12)
Final energy   -62.070 eV/cell
Formation energy from raw total energies   -64.16 kcal/mol of atoms

Lattice parameters (Å, degrees): 7.6518 5.5110 5.5110 108.03 97.28 97.28
Last column: nearest neighbours and their distance in Å.
Atoms (fractional coordinates):
Ag: 0.5000 0.6547 0.3453  2 F 2.48, 1 Ag 2.76
Ag: 0.5000 0.3453 0.6547  2 F 2.48, 1 Ag 2.76
F: 0.7426 0.3604 0.0050  1 Sc 1.91
F: 0.2574 0.9950 0.6396  1 Sc 1.91
F: 0.0000 0.0000 0.0000  2 Sc 2.03
F: 0.7426 0.0050 0.3604  1 Sc 1.91
F: 0.1376 0.4322 0.4322  2 Sc 2.05-2.09
F: 0.2574 0.6396 0.9950  1 Sc 1.91
F: 0.8624 0.5678 0.5678  2 Sc 2.05-2.09
Sc: 0.8818 0.2515 0.2515  5 F 1.91-2.09
Sc: 0.1182 0.7485 0.7485  5 F 1.91-2.09



(2)
## MnTe2Au (PBE-GGA)

Data for a geometry-optimized MnTe2Au structure.

DOS(E_F)   0.59 states/eV/atom
ΔE to the lowest computed polymorph   0.34 eV per formula unit
Space-group type   P4mm (99)
Final energy   -18.750 eV/cell
Formation energy from raw total energies   -0.12 kcal/mol of atoms

Lattice parameters (Å, degrees): 3.8413 3.8411 7.2304 90.00 90.00 90.00
Last column: nearest neighbours and their distance in Å.
Atoms (fractional coordinates):
Te: 0.5000 0.5000 0.3689  1 Mn 2.72, 4 Au 2.87
Te: 0.0000 0.0000 0.8871  1 Au 2.81, 4 Mn 2.90
Mn: 0.5000 0.5000 0.7450  5 Te 2.72-2.90
Au: 0.0000 0.0000 0.4989  5 Te 2.81-2.87



(3)
## Ti2PdPtW (PBE-GGA)

Data for a geometry-optimized Ti2PdPtW structure.

DOS(E_F)   1.78 states/eV/atom
Energy of formation from the pure elements   5.8 eV/f.u.
Space-group type   P4/mmm (123)
Final energy   -34.144 eV/cell

Lattice parameters (Å, degrees): 4.5199 4.8436 4.5199 90.00 90.00 90.00
Last column: nearest neighbours and their distance in Å.
Atoms (fractional coordinates):
W: 0.5000 0.5000 0.5000  4 Pt 3.20, 8 Ti 3.31
Pd: 0.0000 0.0000 0.0000  4 Ti 2.26, 2 Pt 2.42
Ti: 0.5000 0.0000 0.0000  2 Pd 2.26
Ti: 0.0000 0.0000 0.5000  2 Pd 2.26
Pt: 0.0000 0.5000 0.0000  2 Pd 2.42